NaPaMoN4 PBE-GGA relaxed; ΔE_f (raw) = -749 meV per atom; space-group type = No. 11; crystal system = monoclinic; spin magnetization = 0.00 μB/atom
1.0
5.985 0.000 0.000
0.000 5.808 0.000
-2.496 0.000 7.022
Na Pa Mo N
2 2 2 8
Cartesian
0.609 1.452 1.000
2.880 4.356 6.022
0.518 4.356 3.170
2.971 1.452 3.853
-0.047 1.452 4.822
3.536 4.356 2.200
-1.751 1.452 5.646
-0.775 1.452 3.143
1.209 0.044 4.785
1.209 2.860 4.785
2.280 2.948 2.237
2.280 5.764 2.237
4.264 4.356 3.879
5.240 4.356 1.376

=====

TlInF6 PBE-GGA relaxed; ΔE_f (raw) = -2151 meV per atom; space-group type = No. 163; crystal system = trigonal; spin magnetization = 0.00 μB/atom
1.0
5.362 0.000 0.000
-2.681 4.644 0.000
0.000 0.000 10.201
Tl In F
2 2 12
Cartesian
0.000 0.000 0.000
0.000 0.000 5.101
0.000 3.096 2.550
2.681 1.548 7.651
-0.785 1.588 1.299
-1.698 3.170 3.801
0.785 1.588 3.801
-0.913 4.529 1.299
1.768 0.114 6.400
0.983 1.474 8.902
1.698 3.170 1.299
0.913 4.529 3.801
3.594 0.114 8.902
1.896 3.055 6.400
4.379 1.474 6.400
3.466 3.055 8.902

=====

no.,DOS at the Fermi energy (states/eV/cell),calculated density (g cm⁻³)
1,0.00,5.5
2,0.00,5.7